# Tb3Pr6Y

A geometry-optimized Tb3Pr6Y structure (GGA-PBE, the Alexandria database).

Values from the calculation:
The value obtained for the calculated total energy is -4.765 eV per atom. For the density of states at the Fermi level, the calculation gives 28.75 states/eV per cell.

The structure in POSCAR format:
```
Tb3Pr6Y
1.0
5.475 -9.765 0.000
5.475 9.765 0.000
0.000 0.000 6.511
Tb Pr Y
6 12 2
Direct
0.114 0.886 0.500 Tb
0.215 0.447 0.112 Tb
0.447 0.215 0.612 Tb
0.553 0.785 0.112 Tb
0.785 0.553 0.612 Tb
0.886 0.114 0.000 Tb
0.013 0.437 0.733 Pr
0.130 0.216 0.535 Pr
0.216 0.130 0.035 Pr
0.218 0.782 0.925 Pr
0.437 0.013 0.233 Pr
0.469 0.531 0.715 Pr
0.531 0.469 0.215 Pr
0.563 0.987 0.733 Pr
0.782 0.218 0.425 Pr
0.784 0.870 0.535 Pr
0.870 0.784 0.035 Pr
0.987 0.563 0.233 Pr
0.312 0.688 0.487 Y
0.688 0.312 0.987 Y
```